Entry 1
CuAsSe2I, optimized geometry, DFT PBE; volume = 297 Å³ per cell
1.0
-1.6466 3.3491 -3.7760
2.3332 -5.2660 -5.6882
-7.0248 -1.1795 2.0171
Se I As Cu
4 2 2 2
direct
0.2500 0.3977 0.6292 Se
0.2500 0.4066 0.1114 Se
0.7500 0.5934 0.8886 Se
0.7500 0.6023 0.3708 Se
0.2500 0.9017 0.7238 I
0.7500 0.0983 0.2762 I
0.7500 0.3598 0.0605 As
0.2500 0.6402 0.9395 As
0.2500 0.6065 0.4364 Cu
0.7500 0.3935 0.5636 Cu


Entry 2
CuAsSe2I, optimized geometry, DFT PBE; volume = 115 Å³ per cell
1.0
4.7840 0.0000 0.0000
0.0000 4.7840 0.0000
0.0000 0.0000 5.0399
I As Se Cu
1 1 2 1
direct
0.5000 0.5000 0.5000 I
0.0000 0.0000 0.5000 As
0.5000 0.0000 0.0000 Se
0.0000 0.5000 0.0000 Se
0.0000 0.0000 0.0000 Cu


Most stable one: entry 1, least stable one: entry 2.


Entry 1
CuTe2AsI, optimized geometry, DFT PBE; volume = 168 Å³ per cell
1.0
-4.9153 -1.8990 -1.6023
2.4566 -3.1824 -3.7645
0.3749 -4.1052 3.7151
Cu Te I As
1 2 1 1
direct
0.5000 0.5000 0.5000 Cu
0.5000 0.0000 0.0000 Te
0.0000 0.5000 0.0000 Te
0.0000 0.0000 0.5000 I
0.0000 0.0000 0.0000 As


Entry 2
CuTe2AsI, optimized geometry, DFT PBE; volume = 138 Å³ per cell
1.0
-1.2344 2.6463 -4.3145
-4.3834 1.6614 2.2732
2.4766 4.0798 1.7938
Te I As Cu
2 1 1 1
direct
0.0000 0.5000 0.0000 Te
0.5000 0.0000 0.0000 Te
0.0000 0.0000 0.5000 I
0.5000 0.5000 0.5000 As
0.0000 0.0000 0.0000 Cu


Most stable one: entry 2, least stable one: entry 1.


Entry 1
CuAsIr, optimized geometry, DFT PBE; volume = 196 Å³ per cell
1.0
4.6613 0.0000 0.0000
0.0000 6.8041 -0.4028
0.0000 -3.3083 6.3791
As Cu Ir
4 4 4
direct
0.5006 0.3291 0.4436 As
0.0006 0.1530 0.1295 As
0.0006 0.6709 0.5564 As
0.5006 0.8470 0.8705 As
0.5009 0.6215 0.0541 Cu
0.0006 0.8282 0.3168 Cu
0.5006 0.1718 0.6832 Cu
0.0009 0.3785 0.9459 Cu
0.5006 0.7123 0.4700 Ir
0.5006 0.2600 0.0783 Ir
0.0006 0.7400 0.9217 Ir
0.0006 0.2877 0.5300 Ir


Entry 2
CuAsIr, optimized geometry, DFT PBE; volume = 45 Å³ per cell
1.0
2.9144 0.0000 0.0000
-1.4572 2.5239 0.0000
0.0000 0.0000 6.0675
Ir As Cu
1 1 1
direct
0.3333 0.6667 0.6765 Ir
0.0000 0.0000 0.9916 As
0.6667 0.3333 0.3318 Cu


Entry 3
CuAsIr, optimized geometry, DFT PBE; volume = 50 Å³ per cell
1.0
4.1321 0.0000 0.0000
2.0661 3.5785 0.0000
2.0661 1.1928 3.3739
Ir Cu As
1 1 1
direct
0.7500 0.7500 0.7500 Ir
0.5000 0.5000 0.5000 Cu
0.0000 0.0000 0.0000 As


Most stable one: entry 3, least stable one: entry 2.


Entry 1
CuAsIr, optimized geometry, DFT PBE; volume = 45 Å³ per cell
1.0
-0.6661 2.2131 -3.4985
-2.5276 -3.2024 0.9681
-1.7615 1.8444 1.5021
Cu As Ir
1 1 1
direct
0.3333 0.6667 0.3331 Cu
0.0000 0.0000 0.8340 As
0.6667 0.3333 0.8329 Ir


Entry 2
CuAsIr, optimized geometry, DFT PBE; volume = 46 Å³ per cell
1.0
-6.1090 1.3449 3.1459
-6.4521 -0.9847 1.5816
0.4055 -0.2469 2.7868
Ir As Cu
1 1 1
direct
0.6650 0.6650 0.3350 Ir
0.0054 0.0054 0.9946 As
0.3296 0.3296 0.6704 Cu


Most stable one: entry 1, least stable one: entry 2.


Entry 1
Cu3AsIr, optimized geometry, DFT PBE; volume = 83 Å³ per cell
1.0
4.3655 0.0000 0.0000
0.0000 4.3655 0.0000
0.0000 0.0000 4.3655
As Cu Ir
1 3 1
direct
0.0000 0.0000 0.0000 As
0.0000 0.5000 0.0000 Cu
0.5000 0.0000 0.0000 Cu
0.0000 0.0000 0.5000 Cu
0.5000 0.5000 0.5000 Ir


Entry 2
Cu3AsIr, optimized geometry, DFT PBE; volume = 99 Å³ per cell
1.0
4.6274 0.0000 0.0000
0.0000 4.6274 0.0000
0.0000 0.0000 4.6274
Cu As Ir
3 1 1
direct
0.5000 0.0000 0.0000 Cu
0.0000 0.0000 0.5000 Cu
0.0000 0.5000 0.0000 Cu
0.5000 0.5000 0.5000 As
0.0000 0.0000 0.0000 Ir


Most stable one: entry 1, least stable one: entry 2.


Entry 1
CuAsIr3, optimized geometry, DFT PBE; volume = 91 Å³ per cell
1.0
-0.0421 -4.4624 0.5171
4.4642 0.0162 0.5030
-0.5015 0.5185 4.4342
As Cu Ir
1 1 3
direct
0.5000 0.5000 0.5000 As
0.0000 0.0000 0.0000 Cu
0.0000 0.0000 0.5000 Ir
0.5000 0.0000 0.0000 Ir
0.0000 0.5000 0.0000 Ir


Entry 2
CuAsIr3, optimized geometry, DFT PBE; volume = 94 Å³ per cell
1.0
4.5432 0.0000 0.0000
0.0000 4.5432 0.0000
0.0000 0.0000 4.5432
Cu Ir As
1 3 1
direct
0.5000 0.5000 0.5000 Cu
0.5000 0.0000 0.0000 Ir
0.0000 0.0000 0.5000 Ir
0.0000 0.5000 0.0000 Ir
0.0000 0.0000 0.0000 As


Most stable one: entry 2, least stable one: entry 1.


Entry 1
CuAsIrSe2, optimized geometry, DFT PBE; volume = 119 Å³ per cell
1.0
5.1063 0.0000 0.0000
0.0000 5.1063 0.0000
0.0000 0.0000 4.5737
Ir As Cu Se
1 1 1 2
direct
0.0000 0.0000 0.0000 Ir
0.0000 0.0000 0.5000 As
0.5000 0.5000 0.5000 Cu
0.5000 0.0000 0.0000 Se
0.0000 0.5000 0.0000 Se


Entry 2
CuAsIrSe2, optimized geometry, DFT PBE; volume = 118 Å³ per cell
1.0
5.0844 0.0000 0.0000
0.0000 4.5792 0.0000
0.0000 0.0000 5.0844
Cu Se As Ir
1 2 1 1
direct
0.5000 0.5000 0.5000 Cu
0.5000 0.0000 0.0000 Se
0.0000 0.0000 0.5000 Se
0.0000 0.0000 0.0000 As
0.0000 0.5000 0.0000 Ir


Most stable one: entry 1, least stable one: entry 2.


Entry 1
KCuAs2, optimized geometry, DFT PBE; volume = 99 Å³ per cell
1.0
5.8641 -0.0238 0.0012
1.9573 5.5278 -0.0012
-3.0623 -3.9576 3.0574
K As Cu
1 2 1
direct
0.2471 0.7471 0.5000 K
0.7478 0.2478 0.5000 As
0.9344 0.9344 0.0000 As
0.5707 0.5707 0.0000 Cu


Entry 2
KCuAs2, optimized geometry, DFT PBE; volume = 83 Å³ per cell
1.0
1.9771 -4.4509 0.4656
-2.6214 -3.9721 -1.1344
1.1146 -2.6106 -3.9848
As K Cu
2 1 1
direct
0.7500 0.7500 0.7500 As
0.2500 0.2500 0.2500 As
0.0000 0.0000 0.0000 K
0.5000 0.5000 0.5000 Cu


Entry 3
KCuAs2, optimized geometry, DFT PBE; volume = 105 Å³ per cell
1.0
-0.1381 -4.2017 -2.5109
2.6903 -4.0756 0.3590
-3.2966 -3.8860 3.4196
Cu As K
1 2 1
direct
0.4523 0.4523 0.7041 Cu
0.0171 0.0171 0.8714 As
0.8085 0.8085 0.6669 As
0.2221 0.2221 0.2576 K


Most stable one: entry 3, least stable one: entry 2.